Version 1
ZrSn3Hg PBE optimized geometry; crystal system = cubic; density = 6.7 g/cm3; space group = No. 221; M_tot = 0.94 Bohr magnetons per cell
1.0
5.434 0.000 0.000
0.000 5.434 0.000
0.000 0.000 5.434
Zr Sn Hg
1 3 1
direct
0.000 0.000 0.000 Zr
0.000 0.500 0.500 Sn
0.500 0.000 0.500 Sn
0.500 0.500 0.000 Sn
0.500 0.500 0.500 Hg

=====

Version 2
ZrSn3Hg PBE optimized geometry; crystal system = cubic; density = 6.1 g/cm3; space group = No. 221; M_tot = 0.00 Bohr magnetons per cell
1.0
5.596 0.000 0.000
0.000 5.596 0.000
0.000 0.000 5.596
Zr Sn Hg
1 3 1
direct
0.000 0.000 0.000 Zr
0.000 0.000 0.500 Sn
0.000 0.500 0.000 Sn
0.500 0.000 0.000 Sn
0.500 0.500 0.500 Hg

=====

What is the least stable structure shown above? It is version 1.